No. 1
Crystalline RbLuTa at its relaxed geometry. Source: OQMD via LeMat-Bulk, functional PBE. Values from VASP.

The structure in Quantum ESPRESSO input format:
```
&SYSTEM
  ibrav = 0, nat = 12, ntyp = 3
/
ATOMIC_SPECIES
Rb 85.47 Rb.upf
Lu 174.97 Lu.upf
Ta 180.95 Ta.upf
CELL_PARAMETERS angstrom
7.755 0.000 0.000
0.000 7.755 0.000
0.000 0.000 7.755
ATOMIC_POSITIONS crystal
Rb 0.000 0.000 0.000
Rb 0.000 0.500 0.500
Rb 0.500 0.000 0.500
Rb 0.500 0.500 0.000
Lu 0.000 0.000 0.500
Lu 0.000 0.500 0.000
Lu 0.500 0.000 0.000
Lu 0.500 0.500 0.500
Ta 0.250 0.250 0.750
Ta 0.250 0.750 0.250
Ta 0.750 0.250 0.250
Ta 0.750 0.750 0.750
```

Summary:
The offset from the most stable computed form is 0.00 eV/f.u. Its space group is F-43m, No. 216.

No. 2
Crystalline RbLuTc at its relaxed geometry. Source: OQMD via LeMat-Bulk, functional PBE. Values from VASP.

The structure in Quantum ESPRESSO input format:
```
&SYSTEM
  ibrav = 0, nat = 12, ntyp = 3
/
ATOMIC_SPECIES
Rb 85.47 Rb.upf
Lu 174.97 Lu.upf
Tc 98.00 Tc.upf
CELL_PARAMETERS angstrom
7.123 0.000 0.000
0.000 7.123 0.000
0.000 0.000 7.123
ATOMIC_POSITIONS crystal
Rb 0.000 0.000 0.000
Rb 0.000 0.500 0.500
Rb 0.500 0.000 0.500
Rb 0.500 0.500 0.000
Lu 0.000 0.000 0.500
Lu 0.000 0.500 0.000
Lu 0.500 0.000 0.000
Lu 0.500 0.500 0.500
Tc 0.250 0.250 0.750
Tc 0.250 0.750 0.250
Tc 0.750 0.250 0.250
Tc 0.750 0.750 0.750
```

Summary:
The offset from the most stable computed form is 0.00 eV/f.u. Its space group is F-43m, No. 216.

No. 3
Crystalline RbLuTc at its relaxed geometry. Source: OQMD via LeMat-Bulk, functional PBE. Values from VASP.

The structure in Quantum ESPRESSO input format:
```
&SYSTEM
  ibrav = 0, nat = 12, ntyp = 3
/
ATOMIC_SPECIES
Rb 85.47 Rb.upf
Lu 174.97 Lu.upf
Tc 98.00 Tc.upf
CELL_PARAMETERS angstrom
7.186 0.000 0.000
0.000 7.186 0.000
0.000 0.000 7.186
ATOMIC_POSITIONS crystal
Rb 0.000 0.000 0.000
Rb 0.000 0.500 0.500
Rb 0.500 0.000 0.500
Rb 0.500 0.500 0.000
Lu 0.250 0.250 0.750
Lu 0.250 0.750 0.250
Lu 0.750 0.250 0.250
Lu 0.750 0.750 0.750
Tc 0.250 0.250 0.250
Tc 0.250 0.750 0.750
Tc 0.750 0.250 0.750
Tc 0.750 0.750 0.250
```

Summary:
The offset from the most stable computed form is 1.87 eV/f.u. Its space group is F-43m, No. 216.

No. 4
Crystalline Rb2LuTe at its relaxed geometry. Source: OQMD via LeMat-Bulk, functional PBE. Values from VASP.

The structure in Quantum ESPRESSO input format:
```
&SYSTEM
  ibrav = 0, nat = 4, ntyp = 3
/
ATOMIC_SPECIES
Rb 85.47 Rb.upf
Lu 174.97 Lu.upf
Te 127.60 Te.upf
CELL_PARAMETERS angstrom
5.338 0.000 0.000
0.000 5.338 0.000
0.000 0.000 7.396
ATOMIC_POSITIONS crystal
Rb 0.000 0.000 0.000
Rb 0.500 0.500 0.500
Lu 0.000 0.000 0.500
Te 0.500 0.500 0.000
```

Summary:
The total energy is -0.075 hartree per atom. Its space group is P4/mmm, No. 123.

No. 5
Crystalline RbLuZnTe3 at its relaxed geometry. Source: OQMD via LeMat-Bulk, functional PBE. Values from VASP.

The structure in Quantum ESPRESSO input format:
```
&SYSTEM
  ibrav = 0, nat = 12, ntyp = 4
/
ATOMIC_SPECIES
Rb 85.47 Rb.upf
Lu 174.97 Lu.upf
Zn 65.41 Zn.upf
Te 127.60 Te.upf
CELL_PARAMETERS angstrom
9.381 0.000 0.000
0.000 4.378 0.000
-4.102 0.000 10.481
ATOMIC_POSITIONS crystal
Rb 0.248 0.250 0.215
Rb 0.752 0.750 0.785
Lu 0.178 0.750 0.639
Lu 0.822 0.250 0.361
Zn 0.420 0.250 0.891
Zn 0.580 0.750 0.109
Te 0.043 0.750 0.354
Te 0.276 0.750 0.942
Te 0.411 0.250 0.655
Te 0.589 0.750 0.345
Te 0.724 0.250 0.058
Te 0.957 0.250 0.646
```

Summary:
The total energy is -0.137 hartree per atom. Its space group is P2_1/m, No. 11.

No. 6
Crystalline RbLuZnTe3 at its relaxed geometry. Source: OQMD via LeMat-Bulk, functional PBE. Values from VASP.

The structure in Quantum ESPRESSO input format:
```
&SYSTEM
  ibrav = 0, nat = 12, ntyp = 4
/
ATOMIC_SPECIES
Rb 85.47 Rb.upf
Lu 174.97 Lu.upf
Zn 65.41 Zn.upf
Te 127.60 Te.upf
CELL_PARAMETERS angstrom
9.912 -2.216 0.000
9.912 2.216 0.000
-1.761 0.000 9.321
ATOMIC_POSITIONS crystal
Rb 0.143 0.143 0.062
Rb 0.857 0.857 0.938
Lu 0.170 0.170 0.563
Lu 0.830 0.830 0.437
Zn 0.471 0.471 0.274
Zn 0.529 0.529 0.726
Te 0.000 0.000 0.500
Te 0.324 0.324 0.645
Te 0.335 0.335 0.223
Te 0.500 0.500 0.000
Te 0.665 0.665 0.777
Te 0.676 0.676 0.355
```

Summary:
The total energy is -0.131 hartree per atom. Its space group is C2/m, No. 12.

No. 7
Crystalline RbLuTh at its relaxed geometry. Source: OQMD via LeMat-Bulk, functional PBE. Values from VASP.

The structure in Quantum ESPRESSO input format:
```
&SYSTEM
  ibrav = 0, nat = 12, ntyp = 3
/
ATOMIC_SPECIES
Rb 85.47 Rb.upf
Lu 174.97 Lu.upf
Th 232.04 Th.upf
CELL_PARAMETERS angstrom
8.216 0.000 0.000
0.000 8.216 0.000
0.000 0.000 8.216
ATOMIC_POSITIONS crystal
Rb 0.000 0.000 0.000
Rb 0.000 0.500 0.500
Rb 0.500 0.000 0.500
Rb 0.500 0.500 0.000
Lu 0.250 0.250 0.250
Lu 0.250 0.750 0.750
Lu 0.750 0.250 0.750
Lu 0.750 0.750 0.250
Th 0.000 0.000 0.500
Th 0.000 0.500 0.000
Th 0.500 0.000 0.000
Th 0.500 0.500 0.500
```

Summary:
The offset from the most stable computed form is 0.00 eV/f.u. Its space group is F-43m, No. 216.

No. 8
Crystalline RbLuU at its relaxed geometry. Source: OQMD via LeMat-Bulk, functional PBE. Values from VASP.

The structure in Quantum ESPRESSO input format:
```
&SYSTEM
  ibrav = 0, nat = 12, ntyp = 3
/
ATOMIC_SPECIES
Rb 85.47 Rb.upf
Lu 174.97 Lu.upf
U 238.03 U.upf
CELL_PARAMETERS angstrom
8.280 0.000 0.000
0.000 8.280 0.000
0.000 0.000 8.280
ATOMIC_POSITIONS crystal
Rb 0.000 0.000 0.000
Rb 0.000 0.500 0.500
Rb 0.500 0.000 0.500
Rb 0.500 0.500 0.000
Lu 0.000 0.000 0.500
Lu 0.000 0.500 0.000
Lu 0.500 0.000 0.000
Lu 0.500 0.500 0.500
U 0.250 0.250 0.750
U 0.250 0.750 0.250
U 0.750 0.250 0.250
U 0.750 0.750 0.750
```

Summary:
The total energy is -0.134 hartree per atom. Its space group is F-43m, No. 216.

No. 9
Crystalline RbLuW at its relaxed geometry. Source: OQMD via LeMat-Bulk, functional PBE. Values from VASP.

The structure in Quantum ESPRESSO input format:
```
&SYSTEM
  ibrav = 0, nat = 12, ntyp = 3
/
ATOMIC_SPECIES
Rb 85.47 Rb.upf
Lu 174.97 Lu.upf
W 183.84 W.upf
CELL_PARAMETERS angstrom
7.429 0.000 0.000
0.000 7.429 0.000
0.000 0.000 7.429
ATOMIC_POSITIONS crystal
Rb 0.000 0.000 0.000
Rb 0.000 0.500 0.500
Rb 0.500 0.000 0.500
Rb 0.500 0.500 0.000
Lu 0.000 0.000 0.500
Lu 0.000 0.500 0.000
Lu 0.500 0.000 0.000
Lu 0.500 0.500 0.500
W 0.250 0.250 0.750
W 0.250 0.750 0.250
W 0.750 0.250 0.250
W 0.750 0.750 0.750
```

Summary:
The offset from the most stable computed form is 0.00 eV/f.u. Its space group is F-43m, No. 216.

No. 10
Crystalline RbLuW at its relaxed geometry. Source: OQMD via LeMat-Bulk, functional PBE. Values from VASP.

The structure in Quantum ESPRESSO input format:
```
&SYSTEM
  ibrav = 0, nat = 12, ntyp = 3
/
ATOMIC_SPECIES
Rb 85.47 Rb.upf
Lu 174.97 Lu.upf
W 183.84 W.upf
CELL_PARAMETERS angstrom
7.179 0.000 0.000
0.000 7.179 0.000
0.000 0.000 7.179
ATOMIC_POSITIONS crystal
Rb 0.000 0.000 0.000
Rb 0.000 0.500 0.500
Rb 0.500 0.000 0.500
Rb 0.500 0.500 0.000
Lu 0.250 0.250 0.750
Lu 0.250 0.750 0.250
Lu 0.750 0.250 0.250
Lu 0.750 0.750 0.750
W 0.250 0.250 0.250
W 0.250 0.750 0.750
W 0.750 0.250 0.750
W 0.750 0.750 0.250
```

Summary:
The offset from the most stable computed form is 1.73 eV/f.u. Its space group is F-43m, No. 216.

No. 11
Crystalline LuRe at its relaxed geometry. Source: OQMD via LeMat-Bulk, functional PBE. Values from VASP.

The structure in Quantum ESPRESSO input format:
```
&SYSTEM
  ibrav = 0, nat = 8, ntyp = 2
/
ATOMIC_SPECIES
Lu 174.97 Lu.upf
Re 186.21 Re.upf
CELL_PARAMETERS angstrom
6.271 0.000 0.000
0.000 6.271 0.000
0.000 0.000 6.271
ATOMIC_POSITIONS crystal
Lu 0.000 0.000 0.000
Lu 0.000 0.500 0.500
Lu 0.500 0.000 0.500
Lu 0.500 0.500 0.000
Re 0.250 0.250 0.750
Re 0.250 0.750 0.250
Re 0.750 0.250 0.250
Re 0.750 0.750 0.750
```

Summary:
For the formation energy, the calculation gives 478 kJ/mol of formula units. Its space group is F-43m, No. 216.

No. 12
Crystalline LuRe at its relaxed geometry. Source: OQMD via LeMat-Bulk, functional PBE. Values from VASP.

The structure in Quantum ESPRESSO input format:
```
&SYSTEM
  ibrav = 0, nat = 8, ntyp = 2
/
ATOMIC_SPECIES
Lu 174.97 Lu.upf
Re 186.21 Re.upf
CELL_PARAMETERS angstrom
5.630 0.000 0.000
0.000 5.630 0.000
0.000 0.000 5.630
ATOMIC_POSITIONS crystal
Lu 0.000 0.000 0.000
Lu 0.000 0.500 0.500
Lu 0.500 0.000 0.500
Lu 0.500 0.500 0.000
Re 0.000 0.000 0.500
Re 0.000 0.500 0.000
Re 0.500 0.000 0.000
Re 0.500 0.500 0.500
```

Summary:
For the formation energy, the calculation gives 252 kJ/mol of formula units. Its space group is Fm-3m, No. 225.